DFT (PBE-GGA) results for a relaxed RbNaAgAs crystal.

Output
Calculated density (g cm⁻³): 4.23
Distance to the lowest polymorph of the same formula (meV/atom): 38.0

a = 6.236 Å, b = 6.236 Å, c = 6.018 Å
α = 90.07°, β = 90.07°, γ = 102.19°
Fractional coordinates of all 8 atoms:
Rb (0.146, 0.146, 0.249)
Rb (0.854, 0.854, 0.751)
Na (0.206, 0.504, 0.748)
Na (0.496, 0.794, 0.252)
Ag (0.676, 0.324, 0.000)
Ag (0.676, 0.324, 0.500)
As (0.400, 0.073, 0.749)
As (0.927, 0.600, 0.251)